A plane-wave DFT calculation with PBE was carried out for a geometry-optimized NbV2Ag structure.

Total magnetization: 0.00 μB/f.u.
DFT formation energy: 3.130 eV/f.u.

abc: 9.714 9.714 9.714
angles: 157.23 157.23 32.43
Positions (direct):
Nb 0.000 0.000 0.000
Nb 0.750 0.250 0.500
V 0.104 0.625 0.979
V 0.375 0.354 0.479
V 0.646 0.125 0.021
V 0.875 0.896 0.521
Ag 0.250 0.750 0.500
Ag 0.500 0.500 0.000



A plane-wave DFT calculation with PBE was carried out for a geometry-optimized Ba3Cu2RuO6 structure.

Total magnetization: 2.21 μB/f.u.
Calculated total energy: -71.0 eV per cell

abc: 5.909 5.909 6.795
angles: 90.00 90.00 120.00
Positions (direct):
Ba 0.000 0.000 0.000
Ba 0.333 0.667 0.649
Ba 0.667 0.333 0.351
Cu 0.333 0.667 0.198
Cu 0.667 0.333 0.802
Ru 0.000 0.000 0.500
O 0.161 0.322 0.325
O 0.161 0.839 0.325
O 0.322 0.161 0.675
O 0.678 0.839 0.325
O 0.839 0.161 0.675
O 0.839 0.678 0.675



A plane-wave DFT calculation with PBE was carried out for a geometry-optimized UGaSnO6 structure.

Total magnetization: 0.97 μB/f.u.
Calculated total energy: -135.1 eV per cell

abc: 5.316 5.316 9.193
angles: 90.00 90.00 120.00
Positions (direct):
U 0.333 0.667 0.250
U 0.667 0.333 0.750
Ga 0.333 0.667 0.750
Ga 0.667 0.333 0.250
Sn 0.000 0.000 0.000
Sn 0.000 0.000 0.500
O 0.018 0.341 0.629
O 0.018 0.677 0.871
O 0.323 0.341 0.871
O 0.323 0.982 0.629
O 0.341 0.018 0.129
O 0.341 0.323 0.371
O 0.659 0.677 0.629
O 0.659 0.982 0.871
O 0.677 0.018 0.371
O 0.677 0.659 0.129
O 0.982 0.323 0.129
O 0.982 0.659 0.371



| no. | DOS(E_F) (states/eV/atom) |
| --- | --- |
| 1 | 1.0121 |
| 2 | 0.3157 |
| 3 | 0.3934 |